Record 1
First-principles (PBE) data for an optimized crystal structure of Y2TcSb, as listed in the Alexandria database.

The structure belongs to space group I-42d (No. 122); the cell edges are 8.192, 8.192 and 5.940 Å and the angles 90.00°, 90.00° and 90.00°. The asymmetric unit holds Y at (0.188, 0.250, 0.125), Tc at (0.000, 0.000, 0.000) and Sb at (0.000, 0.000, 0.500).

The density of states at the Fermi level is 4.04 states/eV per cell. For the raw formation energy, the calculation gives 0.026 eV/atom.

Record 2
First-principles (PBE) data for an optimized crystal structure of Y2TcSb, as listed in the Alexandria database.

The structure belongs to space group R3m (No. 160, hexagonal axes); the cell edges are 3.5547, 3.5547 and 28.1039 Å and the angles 90.00°, 90.00° and 120.00°. The asymmetric unit holds Y at (0.0000, 0.0000, 0.0000), Y at (0.0000, 0.0000, 0.2255), Tc at (0.0000, 0.0000, 0.7436) and Sb at (0.0000, 0.0000, 0.4705).

The density of states at the Fermi level is 8.32 states/eV per cell. For the raw formation energy, the calculation gives 0.047 eV/atom.

Record 3
First-principles (PBE) data for an optimized crystal structure of YTcSb2, as listed in the Alexandria database.

The structure belongs to space group Cm (No. 8); the cell edges are 9.415, 3.422 and 6.630 Å and the angles 90.00°, 112.53° and 90.00°. The asymmetric unit holds Y at (0.000, 0.000, 0.000), Tc at (0.320, 0.000, 0.612), Sb at (0.115, 0.500, 0.645) and Sb at (0.300, 0.500, 0.273).

The density of states at the Fermi level is 1.16 states/eV per cell. Its energy relative to the lowest polymorph listed for this composition is 0.062 eV/atom. For the raw formation energy, the calculation gives -0.289 eV/atom.

Record 4
First-principles (PBE) data for an optimized crystal structure of YTcSb, as listed in the Alexandria database.

The structure belongs to space group P3m1 (No. 156); the cell edges are 3.5482, 3.5482 and 6.3910 Å and the angles 90.00°, 90.00° and 120.00°. The asymmetric unit holds Y at (0.0000, 0.0000, 0.0000), Tc at (0.3333, 0.6667, 0.6646) and Sb at (0.6667, 0.3333, 0.3958).

The density of states at the Fermi level is 1.48 states/eV per cell. Its energy relative to the lowest polymorph listed for this composition is 0.285 eV/atom. For the raw formation energy, the calculation gives -0.004 eV/atom.

Record 5
First-principles (PBE) data for an optimized crystal structure of Y2TcSb, as listed in the Alexandria database.

The structure belongs to space group Pmmm (No. 47); the cell edges are 3.717, 3.745 and 6.733 Å and the angles 90.00°, 90.00° and 90.00°. The asymmetric unit holds Y at (0.000, 0.000, 0.233), Tc at (0.500, 0.500, 0.000) and Sb at (0.500, 0.500, 0.500).

The density of states at the Fermi level is 3.55 states/eV per cell. For the raw formation energy, the calculation gives -0.376 eV/atom.

Record 6
First-principles (PBE) data for an optimized crystal structure of YTcSb2, as listed in the Alexandria database.

The structure belongs to space group F-43m (No. 216); the cell edges are 7.082, 7.082 and 7.082 Å and the angles 90.00°, 90.00° and 90.00°. The asymmetric unit holds Y at (0.000, 0.000, 0.000), Tc at (0.250, 0.250, 0.250), Sb at (0.000, 0.000, 0.500) and Sb at (0.250, 0.250, 0.750).

The density of states at the Fermi level is 8.67 states/eV per cell. Its energy relative to the lowest polymorph listed for this composition is 0.419 eV/atom. For the raw formation energy, the calculation gives 0.068 eV/atom.

Record 7
First-principles (PBE) data for an optimized crystal structure of YTcSb2, as listed in the Alexandria database.

The structure belongs to space group Fm-3m (No. 225); the cell edges are 7.019, 7.019 and 7.019 Å and the angles 90.00°, 90.00° and 90.00°. The asymmetric unit holds Y at (0.000, 0.000, 0.000), Tc at (0.000, 0.000, 0.500) and Sb at (0.250, 0.250, 0.250).

The density of states at the Fermi level is 7.64 states/eV per cell. Its energy relative to the lowest polymorph listed for this composition is 0.153 eV/atom. For the raw formation energy, the calculation gives -0.198 eV/atom.

Record 8
First-principles (PBE) data for an optimized crystal structure of Y2TcSb, as listed in the Alexandria database.

The structure belongs to space group Pmm2 (No. 25); the cell edges are 3.547, 4.643 and 6.213 Å and the angles 90.00°, 90.00° and 90.00°. The asymmetric unit holds Y at (0.000, 0.000, 0.000), Y at (0.500, 0.500, 0.338), Tc at (0.500, 0.500, 0.889) and Sb at (0.000, 0.000, 0.518).

The density of states at the Fermi level is 3.60 states/eV per cell. For the raw formation energy, the calculation gives -0.019 eV/atom.

Record 9
First-principles (PBE) data for an optimized crystal structure of YTcSb2, as listed in the Alexandria database.

The structure belongs to space group P4/mmm (No. 123); the cell edges are 3.353, 3.353 and 7.636 Å and the angles 90.00°, 90.00° and 90.00°. The asymmetric unit holds Y at (0.000, 0.000, 0.000), Tc at (0.000, 0.000, 0.500) and Sb at (0.500, 0.500, 0.289).

The density of states at the Fermi level is 2.55 states/eV per cell. Its energy relative to the lowest polymorph listed for this composition is 0.081 eV/atom. For the raw formation energy, the calculation gives -0.270 eV/atom.

Record 10
First-principles (PBE) data for an optimized crystal structure of YTcSb3, as listed in the Alexandria database.

The structure belongs to space group Pm-3m (No. 221); the cell edges are 5.203, 5.203 and 5.203 Å and the angles 90.00°, 90.00° and 90.00°. The asymmetric unit holds Y at (0.000, 0.000, 0.000), Tc at (0.500, 0.500, 0.500) and Sb at (0.000, 0.500, 0.500).

The density of states at the Fermi level is 7.73 states/eV per cell. Its energy relative to the lowest polymorph listed for this composition is 0.000 eV/atom. For the raw formation energy, the calculation gives 0.244 eV/atom.

Record 11
First-principles (PBE) data for an optimized crystal structure of YTcSb2, as listed in the Alexandria database.

The structure belongs to space group P2/m (No. 10); the cell edges are 3.540, 4.940 and 4.997 Å and the angles 90.00°, 90.10° and 90.00°. The asymmetric unit holds Y at (0.000, 0.000, 0.000), Tc at (0.000, 0.500, 0.500), Sb at (0.500, 0.000, 0.500) and Sb at (0.500, 0.500, 0.000).

The density of states at the Fermi level is 4.16 states/eV per cell. Its energy relative to the lowest polymorph listed for this composition is 0.258 eV/atom. For the raw formation energy, the calculation gives -0.094 eV/atom.

Record 12
First-principles (PBE) data for an optimized crystal structure of YTcSb2, as listed in the Alexandria database.

The structure belongs to space group R-3m (No. 166, hexagonal axes); the cell edges are 4.5587, 4.5587 and 15.0550 Å and the angles 90.00°, 90.00° and 120.00°. The asymmetric unit holds Y at (0.0000, 0.0000, 0.0000), Tc at (0.0000, 0.0000, 0.5000) and Sb at (0.0000, 0.0000, 0.2265).

The density of states at the Fermi level is 4.50 states/eV per cell. Its energy relative to the lowest polymorph listed for this composition is 0.000 eV/atom. For the raw formation energy, the calculation gives -0.351 eV/atom.